# Y4WO10

A geometry-optimized Y4WO10 structure (PBE+U, Alexandria via LeMat-Bulk).

For the total magnetization, the calculation gives 2.4 μB per cell. The calculation puts the final energy at -8.243 eV/atom.

The structure belongs to space group I4/m (No. 87); the cell edges are 8.422, 8.422 and 5.321 Å and the angles 90.00°, 90.00° and 90.00°. The inequivalent atoms are Y at (0.098, 0.697, 0.000), W at (0.000, 0.000, 0.500), O at (0.000, 0.500, 0.250) and O at (0.096, 0.180, 0.273).